No. 1
The following is a SCAN calculation of a PBEsol-optimized structure of Tl3GeF7, from Alexandria.

Cell: 5.8794 7.9481 7.9481 Å, 90.00 90.00 90.00°
Positions (direct):
Tl 0.5000 0.6958 0.1958
Tl 0.5000 0.3042 0.8042
Tl 0.5000 0.1958 0.3042
Tl 0.5000 0.8042 0.6958
Tl 0.0000 0.0000 0.0000
Tl 0.0000 0.5000 0.5000
Ge 0.0000 0.5000 0.0000
Ge 0.0000 0.0000 0.5000
F 0.2207 0.1131 0.6131
F 0.7793 0.8869 0.3869
F 0.2207 0.8869 0.3869
F 0.2207 0.6131 0.8869
F 0.7793 0.6131 0.8869
F 0.7793 0.1131 0.6131
F 0.7793 0.3869 0.1131
F 0.2207 0.3869 0.1131
F 0.0000 0.6616 0.1616
F 0.0000 0.3384 0.8384
F 0.0000 0.1616 0.3384
F 0.0000 0.8384 0.6616
F 0.5000 0.0000 0.0000
F 0.5000 0.5000 0.5000

Calculated values
The energy relative to the elements, uncorrected is -2.250 eV per atom. For the calculated volume, the calculation gives 371.4 Å³ per cell.

=====

No. 2
The following is a SCAN calculation of a PBEsol-optimized structure of KCoAsBr2, from Alexandria.

Cell: 5.8090 5.8090 5.9097 Å, 90.00 90.00 90.00°
Positions (direct):
As 0.0000 0.0000 0.5000
Co 0.5000 0.5000 0.5000
K 0.0000 0.0000 0.0000
Br 0.0000 0.5000 0.0000
Br 0.5000 0.0000 0.0000

Calculated values
The energy relative to the elements, uncorrected is 0.804 eV per atom. For the calculated volume, the calculation gives 199.4 Å³ per cell.

=====

No. 3
The following is a SCAN calculation of a PBEsol-optimized structure of Zr2NiMo, from Alexandria.

Cell: 3.2749 3.2749 6.3299 Å, 90.00 90.00 90.00°
Positions (direct):
Ni 0.5000 0.5000 0.5000
Mo 0.5000 0.5000 0.0000
Zr 0.0000 0.0000 0.7475
Zr 0.0000 0.0000 0.2525

Calculated values
The value obtained for the energy of formation is -0.91 eV/f.u. For the calculated volume, the calculation gives 67.9 Å³ per cell.